(1)
# KVTe2C

Crystalline KVTe2C at its relaxed geometry (PBE, the Alexandria database).

Geometry as POSCAR:
```
KVTe2C
1.0
5.979 0.000 0.000
0.000 4.686 0.000
0.000 0.000 5.979
Te K C V
2 1 1 1
Direct
0.000 0.000 0.500
0.500 0.000 0.000
0.000 0.000 0.000
0.000 0.500 0.000
0.500 0.500 0.500
```

* volume: 33.51 A^3/atom
* space group: P4/mmm, No. 123
* density: 3.54 Mg/m³
* formation energy (no corrections): 210 kJ per mole of atoms

(2)
# Ba2Na2Ag

Crystalline Ba2Na2Ag at its relaxed geometry (PBE, the Alexandria database).

Geometry as POSCAR:
```
Ba2Na2Ag
1.0
-2.473 -4.600 -6.442
7.877 -2.098 -1.526
-0.557 -4.676 3.553
Na Ba Ag
4 4 2
Direct
0.861 0.639 0.000
0.639 0.139 0.000
0.139 0.361 0.000
0.361 0.861 0.000
0.817 0.317 0.500
0.683 0.817 0.500
0.183 0.683 0.500
0.317 0.183 0.500
0.500 0.500 0.000
0.000 0.000 0.000
```

* volume: 40.57 A^3/atom
* E above lowest polymorph: 89 meV/atom
* space group: P4/mbm, No. 127
* density: 3.51 Mg/m³

(3)
# Sc4Co

Crystalline Sc4Co at its relaxed geometry (PBE, the Alexandria database).

Geometry as POSCAR:
```
Sc4Co
1.0
3.135 0.000 0.839
1.462 5.653 0.814
0.109 -0.418 5.873
Sc Co
4 1
Direct
0.577 0.681 0.166
0.241 0.835 0.682
0.423 0.319 0.834
0.759 0.165 0.318
0.000 0.500 0.500
```

* volume: 20.83 A^3/atom
* E above lowest polymorph: 0 meV/atom
* space group: C2/m, No. 12
* density: 3.81 Mg/m³

(4)
# KInC

Crystalline KInC at its relaxed geometry (PBE, the Alexandria database).

Geometry as POSCAR:
```
KInC
1.0
-2.148 1.742 2.397
-3.151 -6.219 1.783
2.598 -1.913 6.452
K C In
2 2 2
Direct
0.174 0.555 0.431
0.441 0.867 0.866
0.795 0.374 0.190
0.847 0.551 0.074
0.426 0.351 0.927
0.744 0.044 0.304
```

* volume: 29.25 A^3/atom
* electronic total energy: -4.0093 eV per atom
* space group: P1, No. 1
* density: 3.14 Mg/m³

(5)
# Cu4P3O12

Crystalline Cu4P3O12 at its relaxed geometry (PBE, the Alexandria database).

Geometry as POSCAR:
```
Cu4P3O12
1.0
-3.338 -0.435 6.851
2.193 -7.564 0.558
7.663 5.729 0.027
O Cu P
24 8 6
Direct
0.170 0.059 0.608
0.609 0.657 0.150
0.499 0.502 0.644
0.061 0.053 0.899
0.574 0.978 0.145
0.830 0.941 0.392
0.097 0.742 0.250
0.746 0.320 0.472
0.174 0.401 0.028
0.144 0.367 0.512
0.939 0.947 0.101
0.472 0.872 0.325
0.856 0.633 0.488
0.903 0.258 0.750
0.391 0.343 0.850
0.501 0.498 0.356
0.863 0.264 0.011
0.528 0.128 0.675
0.280 0.644 0.785
0.254 0.680 0.528
0.826 0.599 0.972
0.426 0.022 0.855
0.137 0.736 0.989
0.720 0.356 0.215
0.255 0.903 0.910
0.757 0.483 0.088
0.972 0.196 0.513
0.028 0.804 0.487
0.346 0.683 0.351
0.745 0.097 0.090
0.243 0.517 0.912
0.654 0.317 0.649
0.998 0.760 0.081
0.296 0.539 0.615
0.002 0.240 0.919
0.378 0.138 0.747
0.622 0.862 0.253
0.704 0.461 0.385
```

* volume: 12.97 A^3/atom
* space group: P-1, No. 2
* density: 3.63 Mg/m³
* formation energy (no corrections): -136 kJ per mole of atoms

(6)
# TbNdGe2Pd2

Crystalline TbNdGe2Pd2 at its relaxed geometry (PBE, the Alexandria database).

Geometry as POSCAR:
```
TbNdGe2Pd2
1.0
-2.088 1.120 -3.774
3.885 -2.177 -0.165
-3.566 -6.370 0.082
Nd Ge Pd Tb
1 2 2 1
Direct
0.000 0.000 0.000
0.333 0.667 0.263
0.667 0.333 0.737
0.333 0.667 0.718
0.667 0.333 0.282
0.000 0.000 0.500
```

* volume: 20.92 A^3/atom
* electronic total energy: -5.7543 eV per atom
* space group: P-3m1, No. 164
* density: 8.75 Mg/m³

(7)
# LiTeOs2

Crystalline LiTeOs2 at its relaxed geometry (PBE, the Alexandria database).

Geometry as POSCAR:
```
LiTeOs2
1.0
4.775 -0.079 0.000
-1.843 4.406 0.000
0.000 0.000 3.095
Os Te Li
2 1 1
Direct
0.000 0.000 0.000
0.500 0.500 0.000
0.500 0.000 0.500
0.000 0.500 0.500
```

* volume: 16.17 A^3/atom
* space group: Cmmm, No. 65
* density: 13.22 Mg/m³
* formation energy (no corrections): 75 kJ per mole of atoms

(8)
# AcTh2Tl

Crystalline AcTh2Tl at its relaxed geometry (PBE, the Alexandria database).

Geometry as POSCAR:
```
AcTh2Tl
1.0
-0.463 -3.272 1.237
2.732 -2.227 0.165
3.356 2.221 12.160
Th Ac Tl
2 1 1
Direct
0.093 0.093 0.720
0.907 0.907 0.280
0.000 0.000 0.000
0.500 0.500 0.500
```

* volume: 34.09 A^3/atom
* E above lowest polymorph: 238 meV/atom
* space group: R-3m, No. 166
* density: 10.90 Mg/m³

Q: Which density of states at the Fermi level values were calculated for the entries above? A: 11.37, 8.69, 6.51, 0.15, 12.48, 4.67, 3.17, 5.62, in states/eV/cell.
Q: Which total magnetic moment values were calculated for the entries above? A: 1.36, 0.00, 0.00, 0.00, 5.15, 0.00, 0.00, 0.00, in μB/cell.